DFT (PBE) results for a relaxed Mn4Pt crystal.

The value obtained for the density is 6.03 g cm⁻³. For the total energy, the calculation gives -7.540 eV per atom. The total magnetic moment is 17.7 μB/cell.

The space group is Pm-3m (No. 221) and the conventional cell measures 4.851, 4.851 and 4.851 Å, with angles of 90.00, 90.00 and 90.00 degrees. Symmetry generates all atoms from Mn at (0.000, 0.000, 0.000), Mn at (0.000, 0.500, 0.500) and Pt at (0.500, 0.500, 0.500).